(1)
ThHgBi2 (GGA-PBE, relaxed); final energy = -4.232 eV/atom; polymorph energy (0 for the lowest one) = 0.0 meV per atom; energy of formation from the pure elements = -0.3613 eV per atom; symmetry = P4/mmm (123)
1.0
4.565 0.000 0.000
0.000 5.018 0.000
0.000 0.000 5.018
Hg Bi Th
1 2 1
direct
0.500 0.000 0.000 Hg
0.000 0.500 0.000 Bi
0.000 0.000 0.500 Bi
0.500 0.500 0.500 Th


(2)
Th5HgBi4 (GGA-PBE, relaxed); final energy = -5.765 eV/atom; energy of formation from the pure elements = -0.4730 eV per atom; symmetry = I4/m (87)
1.0
5.818 0.000 2.806
2.909 7.230 1.403
-0.232 0.000 7.915
Th Bi Hg
5 4 1
direct
0.290 0.811 0.612 Th
0.501 0.000 0.000 Th
0.901 0.388 0.811 Th
0.712 0.189 0.388 Th
0.101 0.612 0.189 Th
0.805 0.790 0.602 Bi
0.407 0.398 0.790 Bi
0.197 0.210 0.398 Bi
0.595 0.602 0.210 Bi
0.001 0.000 0.000 Hg


(3)
Th5HgBi (GGA-PBE, relaxed); final energy = -5.762 eV/atom; energy of formation from the pure elements = 0.1358 eV per atom; symmetry = C2/c (15)
1.0
7.897 -0.203 1.910
2.313 7.554 1.910
5.604 4.034 9.982
Th Bi Hg
10 2 2
direct
0.680 0.681 0.623 Th
0.165 0.835 0.750 Th
0.768 0.425 0.930 Th
0.319 0.320 0.877 Th
0.835 0.165 0.250 Th
0.425 0.768 0.430 Th
0.575 0.232 0.570 Th
0.320 0.319 0.377 Th
0.681 0.680 0.123 Th
0.232 0.575 0.070 Th
0.191 0.809 0.250 Bi
0.809 0.191 0.750 Bi
0.000 0.000 0.000 Hg
0.000 0.000 0.500 Hg


(4)
Th4HgBi (GGA-PBE, relaxed); final energy = -5.779 eV/atom; polymorph energy (0 for the lowest one) = 105.6 meV per atom; energy of formation from the pure elements = -0.1351 eV per atom; symmetry = C2/m (12)
1.0
-0.065 3.121 -4.990
2.643 -4.443 -2.813
-10.841 -3.477 1.439
Th Hg Bi
8 2 2
direct
0.671 0.171 0.841 Th
0.925 0.925 0.351 Th
0.170 0.671 0.841 Th
0.329 0.829 0.159 Th
0.830 0.329 0.159 Th
0.574 0.575 0.649 Th
0.075 0.075 0.649 Th
0.426 0.425 0.351 Th
0.000 0.500 0.500 Hg
0.500 0.000 0.500 Hg
0.250 0.250 0.000 Bi
0.750 0.750 0.000 Bi


Question: The highest final energy belongs to which entry?
Answer: ThHgBi2


Question: Among the records above, which one has the lowest final energy?
Answer: Th4HgBi